No. 1
Below is a relaxed Ac2InAu2 crystal, with properties calculated at the PBE-GGA level.

Its total DFT energy (no corrections) is -21.386 eV/f.u.

Lattice parameters (Å, degrees): 8.4049 8.4049 4.1694 90.00 90.00 90.00
Fractional coordinates of all 10 atoms:
Ac 0.8247 0.3247 0.5000
Ac 0.1753 0.6753 0.5000
Ac 0.3247 0.1753 0.5000
Ac 0.6753 0.8247 0.5000
Au 0.1254 0.3746 0.0000
Au 0.6254 0.1254 0.0000
Au 0.8746 0.6254 0.0000
Au 0.3746 0.8746 0.0000
In 0.5000 0.5000 0.0000
In 0.0000 0.0000 0.0000


No. 2
Below is a relaxed UMoPt crystal, with properties calculated at the PBE-GGA level.

Its total DFT energy (no corrections) is -26.997 eV/f.u. The formation energy is 116 kJ/mol of formula units. The energy relative to the lowest polymorph listed for this composition is 127 meV/atom.

Lattice parameters (Å, degrees): 4.4921 4.4921 4.4921 60.00 60.00 60.00
Fractional coordinates of all 3 atoms:
U 0.0000 0.0000 0.0000
Mo 0.2500 0.2500 0.2500
Pt 0.7500 0.7500 0.7500


No. 3
Below is a relaxed AcHgPd crystal, with properties calculated at the PBE-GGA level.

Its total DFT energy (no corrections) is -11.428 eV/f.u. The formation energy is -178 kJ/mol of formula units. The energy relative to the lowest polymorph listed for this composition is 0 meV/atom.

Lattice parameters (Å, degrees): 5.0014 5.0014 5.0014 60.00 60.00 60.00
Fractional coordinates of all 3 atoms:
Pd 0.0000 0.0000 0.0000
Ac 0.2500 0.2500 0.2500
Hg 0.7500 0.7500 0.7500


No. 4
Below is a relaxed ZrTaCoPb crystal, with properties calculated at the PBE-GGA level.

Its total DFT energy (no corrections) is -29.278 eV/f.u. The energy relative to the lowest polymorph listed for this composition is 0 meV/atom.

Lattice parameters (Å, degrees): 4.7447 4.7447 4.7447 60.00 60.00 60.00
Fractional coordinates of all 4 atoms:
Zr 0.5000 0.5000 0.5000
Ta 0.2500 0.2500 0.2500
Pb 0.0000 0.0000 0.0000
Co 0.7500 0.7500 0.7500


No. 5
Below is a relaxed TbH crystal, with properties calculated at the PBE-GGA level.

Its total DFT energy (no corrections) is -8.784 eV/f.u.

Lattice parameters (Å, degrees): 3.6841 3.6841 3.6841 60.00 60.00 60.00
Fractional coordinates of all 2 atoms:
Tb 0.2500 0.2500 0.2500
H 0.0000 0.0000 0.0000


No. 6
Below is a relaxed Ho6NiGe2 crystal, with properties calculated at the PBE-GGA level.

Its total DFT energy (no corrections) is -46.785 eV/f.u.

Lattice parameters (Å, degrees): 7.8547 7.8547 4.1058 90.00 90.00 120.00
Fractional coordinates of all 9 atoms:
Ge 0.3333 0.6667 0.5000
Ge 0.6667 0.3333 0.5000
Ho 0.2478 0.0000 0.5000
Ho 0.4099 0.4099 0.0000
Ho 0.0000 0.5901 0.0000
Ho 0.0000 0.2478 0.5000
Ho 0.5901 0.0000 0.0000
Ho 0.7522 0.7522 0.5000
Ni 0.0000 0.0000 0.0000


No. 7
Below is a relaxed Rb2AgCl3F crystal, with properties calculated at the PBE-GGA level.

Its total DFT energy (no corrections) is -22.530 eV/f.u.

Lattice parameters (Å, degrees): 4.0931 7.0711 7.0711 82.62 90.00 90.00
Fractional coordinates of all 7 atoms:
Cl 0.0000 0.2289 0.2289
Cl 0.0000 0.7321 0.2550
Cl 0.0000 0.2550 0.7321
Rb 0.5000 0.5280 0.9607
Rb 0.5000 0.9607 0.5280
F 0.0000 0.7947 0.7947
Ag 0.0000 0.0006 0.0006


No. 8
Below is a relaxed LiTcAs crystal, with properties calculated at the PBE-GGA level.

Its total DFT energy (no corrections) is -16.444 eV/f.u. The energy relative to the lowest polymorph listed for this composition is 291 meV/atom.

Lattice parameters (Å, degrees): 4.0900 4.0900 4.0900 60.00 60.00 60.00
Fractional coordinates of all 3 atoms:
Tc 0.0000 0.0000 0.0000
As 0.2500 0.2500 0.2500
Li 0.7500 0.7500 0.7500


No. 9
Below is a relaxed NaWAuSeS2 crystal, with properties calculated at the PBE-GGA level.

Its total DFT energy (no corrections) is -31.108 eV/f.u.

Lattice parameters (Å, degrees): 7.8671 7.8671 10.0370 90.00 90.00 155.17
Fractional coordinates of all 12 atoms:
Se 0.9502 0.0498 0.2500
Se 0.0498 0.9502 0.7500
W 0.0000 0.0000 0.0000
W 0.0000 0.0000 0.5000
S 0.6168 0.3832 0.0195
S 0.3832 0.6168 0.5195
S 0.3832 0.6168 0.9805
S 0.6168 0.3832 0.4805
Na 0.7070 0.2930 0.7500
Na 0.2930 0.7070 0.2500
Au 0.3677 0.6323 0.7500
Au 0.6323 0.3677 0.2500


No. 10
Below is a relaxed NaWAuSe2S crystal, with properties calculated at the PBE-GGA level.

Its total DFT energy (no corrections) is -30.271 eV/f.u.

Lattice parameters (Å, degrees): 8.5253 8.5253 9.3003 90.00 90.00 155.72
Fractional coordinates of all 12 atoms:
W 0.5000 0.5000 0.0000
W 0.5000 0.5000 0.5000
Se 0.1172 0.8828 0.9921
Se 0.8828 0.1172 0.0079
Se 0.1172 0.8828 0.5079
Se 0.8828 0.1172 0.4921
S 0.4940 0.5060 0.2500
S 0.5060 0.4940 0.7500
Au 0.8540 0.1460 0.7500
Au 0.1460 0.8540 0.2500
Na 0.2184 0.7816 0.7500
Na 0.7816 0.2184 0.2500


No. 11
Below is a relaxed RbReTe crystal, with properties calculated at the PBE-GGA level.

Its total DFT energy (no corrections) is -10.472 eV/f.u. The energy relative to the lowest polymorph listed for this composition is 572 meV/atom.

Lattice parameters (Å, degrees): 5.6294 5.6294 5.6294 60.00 60.00 60.00
Fractional coordinates of all 3 atoms:
Rb 0.0000 0.0000 0.0000
Re 0.2500 0.2500 0.2500
Te 0.7500 0.7500 0.7500


No. 12
Below is a relaxed NdAgPbSe3 crystal, with properties calculated at the PBE-GGA level.

Its total DFT energy (no corrections) is -27.513 eV/f.u. The energy relative to the lowest polymorph listed for this composition is 13 meV/atom.

Lattice parameters (Å, degrees): 8.5983 4.3796 16.8864 90.00 90.00 90.00
Fractional coordinates of all 24 atoms:
Se 0.6093 0.2500 0.9380
Se 0.0316 0.7500 0.9106
Se 0.5316 0.7500 0.5894
Se 0.3088 0.2500 0.7892
Se 0.6912 0.7500 0.2108
Se 0.4684 0.2500 0.4106
Se 0.8907 0.7500 0.4380
Se 0.8088 0.2500 0.7108
Se 0.3907 0.7500 0.0620
Se 0.1093 0.2500 0.5619
Se 0.9684 0.2500 0.0894
Se 0.1912 0.7500 0.2892
Ag 0.8802 0.2500 0.8652
Ag 0.1198 0.7500 0.1348
Ag 0.6198 0.7500 0.3652
Ag 0.3802 0.2500 0.6348
Nd 0.7428 0.7500 0.0342
Nd 0.2428 0.7500 0.4658
Nd 0.2572 0.2500 0.9658
Nd 0.7572 0.2500 0.5342
Pb 0.9257 0.2500 0.2713
Pb 0.0743 0.7500 0.7287
Pb 0.5743 0.7500 0.7713
Pb 0.4257 0.2500 0.2287


Question: Which of these has the lowest total DFT energy (no corrections)?
Answer: Ho6NiGe2